## Ba2CrW3O12 (PBE with a Hubbard U)

Data for crystalline Ba2CrW3O12 at its relaxed geometry. Values from VASP.

Cell and atoms, written as Quantum ESPRESSO input:
```
&SYSTEM
  ibrav = 0, nat = 18, ntyp = 4
/
ATOMIC_SPECIES
W 183.84 W.upf
O 16.00 O.upf
Cr 52.00 Cr.upf
Ba 137.33 Ba.upf
CELL_PARAMETERS angstrom
7.2661 -0.0812 -0.0576
3.5178 6.3583 -0.0576
3.5178 2.0476 6.0198
ATOMIC_POSITIONS crystal
W 0.0000 0.0000 0.5000
W 0.5000 0.0000 0.0000
W 0.0000 0.5000 0.0000
O 0.6773 0.0692 0.0692
O 0.0548 0.6839 0.6839
O 0.9452 0.3161 0.3161
O 0.0692 0.0692 0.6773
O 0.6839 0.0548 0.6839
O 0.9308 0.9308 0.3227
O 0.9308 0.3227 0.9308
O 0.3161 0.3161 0.9452
O 0.6839 0.6839 0.0548
O 0.3227 0.9308 0.9308
O 0.3161 0.9452 0.3161
O 0.0692 0.6773 0.0692
Cr 0.0000 0.0000 0.0000
Ba 0.3320 0.3320 0.3320
Ba 0.6680 0.6680 0.6680
```

Output
Energy, eV/f.u.: -132.25
Spin magnetization, μB per cell: 4.0
Space group: R-3m
Theoretical density, g cm⁻³: 6.311